Material: Ho2PuPd3
Method: DFT, GGA-PBE
State: relaxed

CIF file:
```
data_Ho2PuPd3
_chemical_formula_sum 'Ho2 Pu1 Pd3'
_symmetry_space_group_name_H-M 'P 4/m m m'
_symmetry_Int_Tables_number 123
_symmetry_space_group_name_Hall '-P 4 2'
_cell_length_a 3.4524
_cell_length_b 3.4524
_cell_length_c 10.8092
_cell_angle_alpha 90.00
_cell_angle_beta 90.00
_cell_angle_gamma 90.00
loop_
_atom_site_label
_atom_site_fract_x
_atom_site_fract_y
_atom_site_fract_z
Ho1 0.0000 0.0000 0.1655
Pu1 0.0000 0.0000 0.5000
Pd1 0.5000 0.5000 0.0000
Pd2 0.5000 0.5000 0.3182
```

Output
M_tot = 5.88 μB/cell
energy relative to the elements = -4.439 eV per formula unit